# 1
The following is a GGA-PBE calculation of an optimized crystal structure of CsZrI3, from Alexandria via LeMat-Bulk.

The structure in CIF format:
```
data_CsZrI3
_cell_length_a 11.966
_cell_length_b 17.634
_cell_length_c 7.902
_cell_angle_alpha 90.00
_cell_angle_beta 90.00
_cell_angle_gamma 90.00
_symmetry_space_group_name_H-M 'C m c e'
_symmetry_Int_Tables_number 64
_symmetry_space_group_name_Hall '-C 2ac 2'
loop_
_atom_site_label
_atom_site_fract_x
_atom_site_fract_y
_atom_site_fract_z
Cs1 0.250 0.170 0.250
Zr1 0.000 0.120 0.653
I1 0.000 0.048 0.296
I2 0.000 0.228 0.969
I3 0.250 0.105 0.750
```

ΔE to the lowest computed polymorph	0.235	eV/atom
formation energy without anion corrections	-77	kJ per mole of atoms

=====

# 2
The following is a GGA-PBE calculation of an optimized crystal structure of Ho2MgPd2, from Alexandria via LeMat-Bulk.

The structure in CIF format:
```
data_Ho2MgPd2
_cell_length_a 7.617
_cell_length_b 7.617
_cell_length_c 3.819
_cell_angle_alpha 90.00
_cell_angle_beta 90.00
_cell_angle_gamma 90.00
_symmetry_space_group_name_H-M 'P 4/m b m'
_symmetry_Int_Tables_number 127
_symmetry_space_group_name_Hall '-P 4 2ab'
loop_
_atom_site_label
_atom_site_fract_x
_atom_site_fract_y
_atom_site_fract_z
Ho1 0.168 0.332 0.000
Mg1 0.000 0.000 0.500
Pd1 0.133 0.633 0.500
```

ΔE_f	-3.91	eV per formula unit

=====

# 3
The following is a GGA-PBE calculation of an optimized crystal structure of LaTmCdOs, from Alexandria via LeMat-Bulk.

The structure in CIF format:
```
data_LaTmCdOs
_cell_length_a 7.234
_cell_length_b 7.234
_cell_length_c 7.234
_cell_angle_alpha 90.00
_cell_angle_beta 90.00
_cell_angle_gamma 90.00
_symmetry_space_group_name_H-M 'F -4 3 m'
_symmetry_Int_Tables_number 216
_symmetry_space_group_name_Hall 'F -4 2 3'
loop_
_atom_site_label
_atom_site_fract_x
_atom_site_fract_y
_atom_site_fract_z
La1 0.000 0.000 0.000
Tm1 0.000 0.000 0.500
Cd1 0.250 0.250 0.250
Os1 0.250 0.250 0.750
```

ΔE_f	-0.47	eV per formula unit

=====

# 4
The following is a GGA-PBE calculation of an optimized crystal structure of V6Cr3Mo, from Alexandria via LeMat-Bulk.

The structure in CIF format:
```
data_V6Cr3Mo
_cell_length_a 7.302
_cell_length_b 4.173
_cell_length_c 8.894
_cell_angle_alpha 90.00
_cell_angle_beta 105.50
_cell_angle_gamma 90.00
_symmetry_space_group_name_H-M 'P 1 21/m 1'
_symmetry_Int_Tables_number 11
_symmetry_space_group_name_Hall '-P 2yb'
loop_
_atom_site_label
_atom_site_fract_x
_atom_site_fract_y
_atom_site_fract_z
V1 0.047 0.250 0.403
V2 0.142 0.750 0.204
V3 0.239 0.250 0.997
V4 0.338 0.750 0.793
V5 0.349 0.250 0.305
V6 0.444 0.250 0.596
Cr1 0.045 0.750 0.897
Cr2 0.145 0.250 0.697
Cr3 0.251 0.750 0.500
Mo1 0.448 0.750 0.104
```

ΔE_f	-0.65	eV per formula unit

=====

# 5
The following is a GGA-PBE calculation of an optimized crystal structure of LaPmPrMg, from Alexandria via LeMat-Bulk.

The structure in CIF format:
```
data_LaPmPrMg
_cell_length_a 8.084
_cell_length_b 8.084
_cell_length_c 8.084
_cell_angle_alpha 90.00
_cell_angle_beta 90.00
_cell_angle_gamma 90.00
_symmetry_space_group_name_H-M 'F -4 3 m'
_symmetry_Int_Tables_number 216
_symmetry_space_group_name_Hall 'F -4 2 3'
loop_
_atom_site_label
_atom_site_fract_x
_atom_site_fract_y
_atom_site_fract_z
La1 0.000 0.000 0.000
Pm1 0.250 0.250 0.250
Pr1 0.000 0.000 0.500
Mg1 0.250 0.250 0.750
```

ΔE to the lowest computed polymorph	0.077	eV/atom
ΔE_f	0.14	eV per formula unit

=====

# 6
The following is a GGA-PBE calculation of an optimized crystal structure of Pu2SN, from Alexandria via LeMat-Bulk.

The structure in CIF format:
```
data_Pu2SN
_cell_length_a 3.496
_cell_length_b 12.910
_cell_length_c 6.369
_cell_angle_alpha 90.00
_cell_angle_beta 90.00
_cell_angle_gamma 90.00
_symmetry_space_group_name_H-M 'C m c m'
_symmetry_Int_Tables_number 63
_symmetry_space_group_name_Hall '-C 2c 2'
loop_
_atom_site_label
_atom_site_fract_x
_atom_site_fract_y
_atom_site_fract_z
Pu1 0.000 0.139 0.015
S1 0.000 0.480 0.250
N1 0.000 0.267 0.750
```

ΔE to the lowest computed polymorph	0.282	eV/atom
formation energy without anion corrections	-114	kJ per mole of atoms

=====

# 7
The following is a GGA-PBE calculation of an optimized crystal structure of BaGeAsPt3, from Alexandria via LeMat-Bulk.

The structure in CIF format:
```
data_BaGeAsPt3
_cell_length_a 6.605
_cell_length_b 13.381
_cell_length_c 6.443
_cell_angle_alpha 90.00
_cell_angle_beta 90.00
_cell_angle_gamma 90.00
_symmetry_space_group_name_H-M 'C m c m'
_symmetry_Int_Tables_number 63
_symmetry_space_group_name_Hall '-C 2c 2'
loop_
_atom_site_label
_atom_site_fract_x
_atom_site_fract_y
_atom_site_fract_z
Ba1 0.000 0.250 0.250
Ge1 0.000 0.051 0.750
As1 0.000 0.411 0.750
Pt1 0.000 0.231 0.750
Pt2 0.223 0.500 0.000
```

ΔE_f	-3.73	eV per formula unit

=====

# 8
The following is a GGA-PBE calculation of an optimized crystal structure of BiN2Cl, from Alexandria via LeMat-Bulk.

The structure in CIF format:
```
data_BiN2Cl
_cell_length_a 6.308
_cell_length_b 6.308
_cell_length_c 6.308
_cell_angle_alpha 90.00
_cell_angle_beta 90.00
_cell_angle_gamma 90.00
_symmetry_space_group_name_H-M 'F m -3 m'
_symmetry_Int_Tables_number 225
_symmetry_space_group_name_Hall '-F 4 2 3'
loop_
_atom_site_label
_atom_site_fract_x
_atom_site_fract_y
_atom_site_fract_z
Bi1 0.000 0.000 0.000
N1 0.250 0.250 0.250
Cl1 0.000 0.000 0.500
```

ΔE to the lowest computed polymorph	2.076	eV/atom
formation energy without anion corrections	179	kJ per mole of atoms

=====

| no. | final energy (eV for the cell shown) |
| --- | --- |
| 1 | -144.5 |
| 2 | -50.1 |
| 3 | -88.1 |
| 4 | -190.1 |
| 5 | -63.7 |
| 6 | -183.4 |
| 7 | -132.2 |
| 8 | -59.8 |